DFT (meta-GGA SCAN) results for a PBEsol-optimized structure of ScTcOs2.

## Properties
For the energy above the most stable polymorph in this dataset, the calculation gives 295.0 meV per atom. For the formation energy, the calculation gives 0.322 eV per atom.

Geometry as CIF:
```
data_ScTcOs2
_cell_length_a 2.987
_cell_length_b 4.547
_cell_length_c 8.864
_cell_angle_alpha 90.00
_cell_angle_beta 90.00
_cell_angle_gamma 90.00
_space_group_name_H-M_alt 'C m m 2'
_space_group_IT_number 35
loop_
_space_group_symop_operation_xyz
'x,y,z'
'-x,-y,z'
'-x,y,z'
'x,-y,z'
'x+1/2,y+1/2,z'
'-x+1/2,-y+1/2,z'
'-x+1/2,y+1/2,z'
'x+1/2,-y+1/2,z'
loop_
_atom_site_label
_atom_site_type_symbol
_atom_site_fract_x
_atom_site_fract_y
_atom_site_fract_z
_atom_site_occupancy
Sc1 Sc 0.000 0.000 0.000 1
Tc1 Tc 0.000 0.500 0.741 1
Os1 Os 0.000 0.000 0.502 1
Os2 Os 0.000 0.500 0.252 1
```